# 1
A geometry-optimized ZnSb structure. Source: the Open Quantum Materials Database, functional GGA-PBE.

Unit cell a=4.606 b=6.490 c=8.367 alpha=90.00 beta=122.80 gamma=90.00
Atoms (fractional coordinates):
Zn (0.203, 0.096, 0.167)
Zn (0.203, 0.404, 0.667)
Zn (0.797, 0.596, 0.333)
Zn (0.797, 0.904, 0.833)
Sb (0.119, 0.653, 0.150)
Sb (0.119, 0.847, 0.650)
Sb (0.881, 0.153, 0.350)
Sb (0.881, 0.347, 0.850)

Results
Calculated volume (Å³ per cell): 210.2
Uncorrected energy (eV/atom): -2.73

---

# 2
A geometry-optimized GdYIn2Ir4 structure. Source: the Open Quantum Materials Database, functional GGA-PBE.

Unit cell a=4.577 b=4.577 c=8.909 alpha=90.00 beta=90.00 gamma=120.00
Atoms (fractional coordinates):
Gd (0.000, 0.000, 0.000)
Y (0.667, 0.333, 0.500)
In (0.333, 0.667, 0.251)
In (0.333, 0.667, 0.749)
Ir (0.000, 0.000, 0.356)
Ir (0.000, 0.000, 0.644)
Ir (0.667, 0.333, 0.145)
Ir (0.667, 0.333, 0.855)

Results
Calculated volume (Å³ per cell): 161.6
Uncorrected energy (eV/atom): -6.91

---

# 3
A geometry-optimized TaMo3C structure. Source: the Open Quantum Materials Database, functional GGA-PBE.

Unit cell a=4.189 b=4.189 c=4.189 alpha=90.00 beta=90.00 gamma=90.00
Atoms (fractional coordinates):
Ta (0.000, 0.000, 0.000)
Mo (0.000, 0.500, 0.500)
Mo (0.500, 0.000, 0.500)
Mo (0.500, 0.500, 0.000)
C (0.500, 0.500, 0.500)

Results
Calculated volume (Å³ per cell): 73.5
Uncorrected energy (eV/atom): -10.66

---

# 4
A geometry-optimized DyO2 structure. Source: the Open Quantum Materials Database, functional GGA-PBE.

Unit cell a=6.876 b=6.876 c=6.876 alpha=60.00 beta=60.00 gamma=60.00
Atoms (fractional coordinates):
Dy (0.125, 0.125, 0.125)
Dy (0.875, 0.875, 0.875)
O (0.000, 0.000, 0.000)
O (0.000, 0.000, 0.500)
O (0.000, 0.500, 0.000)
O (0.500, 0.000, 0.000)

Results
Calculated volume (Å³ per cell): 229.9
Uncorrected energy (eV/atom): -7.05

---

# 5
A geometry-optimized BaUTe structure. Source: the Open Quantum Materials Database, functional GGA-PBE.

Unit cell a=5.508 b=5.508 c=5.508 alpha=60.00 beta=60.00 gamma=60.00
Atoms (fractional coordinates):
Ba (0.000, 0.000, 0.000)
U (0.500, 0.500, 0.500)
Te (0.750, 0.750, 0.750)

Results
Calculated volume (Å³ per cell): 118.1
Uncorrected energy (eV/atom): -5.26

---

# 6
A geometry-optimized HfS3 structure. Source: the Open Quantum Materials Database, functional GGA-PBE.

Unit cell a=5.125 b=3.604 c=9.203 alpha=90.00 beta=94.41 gamma=90.00
Atoms (fractional coordinates):
Hf (0.231, 0.250, 0.349)
Hf (0.769, 0.750, 0.651)
S (0.001, 0.750, 0.181)
S (0.257, 0.750, 0.552)
S (0.407, 0.750, 0.178)
S (0.593, 0.250, 0.822)
S (0.743, 0.250, 0.448)
S (0.999, 0.250, 0.819)

Results
Calculated volume (Å³ per cell): 169.5
Uncorrected energy (eV/atom): -6.78

---

# 7
A geometry-optimized Co6W7 structure. Source: the Open Quantum Materials Database, functional GGA-PBE.

Unit cell a=9.080 b=9.080 c=9.080 alpha=30.60 beta=30.60 gamma=30.60
Atoms (fractional coordinates):
Co (0.091, 0.091, 0.581)
Co (0.091, 0.581, 0.091)
Co (0.419, 0.909, 0.909)
Co (0.581, 0.091, 0.091)
Co (0.909, 0.419, 0.909)
Co (0.909, 0.909, 0.419)
W (0.000, 0.000, 0.000)
W (0.164, 0.164, 0.164)
W (0.347, 0.347, 0.347)
W (0.451, 0.451, 0.451)
W (0.549, 0.549, 0.549)
W (0.653, 0.653, 0.653)
W (0.836, 0.836, 0.836)

Results
Calculated volume (Å³ per cell): 171.9
Formation enthalpy at 0 K (eV/f.u.): -0.544

---

# 8
A geometry-optimized DyTmS2Br2 structure. Source: the Open Quantum Materials Database, functional GGA-PBE.

Unit cell a=4.032 b=5.330 c=9.067 alpha=90.00 beta=90.00 gamma=90.00
Atoms (fractional coordinates):
Dy (0.000, 0.000, 0.000)
Tm (0.500, 0.500, 0.748)
S (0.000, 0.500, 0.947)
S (0.500, 0.000, 0.795)
Br (0.000, 0.500, 0.534)
Br (0.500, 0.000, 0.218)

Results
Calculated volume (Å³ per cell): 194.9
Uncorrected energy (eV/atom): -5.46

---

Ρ list, top to bottom, in g/cm³: 5.91, 12.79, 10.86, 2.81, 7.07, 5.38, 15.84, 4.73